Computed, not measured: an optimized crystal structure of Pm3Cd2Cu at the PBE-GGA level of DFT.

**Volume**: 26.37 Å³/atom
**DFT formation energy**: -5.70 kcal/mol of atoms
**Excess energy over the best structure of this formula in the dataset**: 0.010 eV/atom
**Total magnetization**: 0.37 μB/f.u.

Lattice parameters (Å, degrees): 5.2474 15.7722 7.6455 90.00 90.00 90.00
Last column: nearest neighbours and their distance in Å.
Space group Cmmm (No. 65)
Symmetry-distinct sites (fractional):
Pm 0.0000 0.0000 0.2398 x4  2 Cu 3.09, 6 Cd 3.20-3.29
Pm 0.0000 0.3277 0.2306 x8  3 Cu 3.17-3.21, 5 Cd 3.24-3.41, 1 Pm 3.53
Cd 0.0000 0.1656 0.5000 x4  8 Pm 3.28-3.34
Cd 0.0000 0.5000 0.0000 x2  8 Pm 3.20-3.24
Cd 0.0000 0.5000 0.5000 x2  8 Pm 3.29-3.41
Cu 0.0000 0.1574 0.0000 x4  8 Pm 3.09-3.21

***

Computed, not measured: an optimized crystal structure of Cu2BrCl at the PBE-GGA level of DFT.

**Volume**: 18.47 Å³/atom
**Formation energy without anion corrections**: 0.499 eV per atom
**Excess energy over the best structure of this formula in the dataset**: 0.804 eV/atom
**Total magnetization**: 0.00 μB/f.u.

Lattice parameters (Å, degrees): 6.6612 6.6612 6.6612 90.00 90.00 90.00
Last column: nearest neighbours and their distance in Å.
Space group F-43m (No. 216)
Symmetry-distinct sites (fractional):
Cu 0.0000 0.0000 0.0000 x4  4 Br 2.88, 4 Cu 2.88
Cu 0.2500 0.2500 0.2500 x4  4 Cl 2.88, 4 Cu 2.88
Br 0.2500 0.2500 0.7500 x4  4 Cl 2.88, 4 Cu 2.88
Cl 0.0000 0.0000 0.5000 x4  4 Br 2.88, 4 Cu 2.88

***

Computed, not measured: an optimized crystal structure of Cs2Sb2Se5 at the PBE-GGA level of DFT.

**Volume**: 38.85 Å³/atom
**Formation energy without anion corrections**: -0.604 eV per atom
**Excess energy over the best structure of this formula in the dataset**: 0.000 eV/atom
**Total magnetization**: 0.00 μB/f.u.

Lattice parameters (Å, degrees): 6.1306 8.0119 8.1816 67.93 71.21 89.56
Last column: nearest neighbours and their distance in Å.
Space group P-1 (No. 2)
Symmetry-distinct sites (fractional):
Cs 0.0673 0.3192 0.3473 x2  6 Se 3.65-3.82
Sb 0.3736 0.1741 0.8189 x2  4 Se 2.62-2.92
Se 0.2303 0.8152 0.1255 x2  2 Sb 2.62-2.92
Se 0.4237 0.9231 0.6731 x2  1 Se 2.47, 1 Sb 2.67
Se 0.5000 0.5000 0.5000 x1  2 Sb 2.80

***

Computed, not measured: an optimized crystal structure of Al2FeMo at the PBE-GGA level of DFT.

**Volume**: 14.30 Å³/atom
**DFT formation energy**: -2.94 kcal/mol of atoms
**Excess energy over the best structure of this formula in the dataset**: 0.099 eV/atom
**Total magnetization**: 2.28 μB/f.u.

Lattice parameters (Å, degrees): 2.6997 4.4177 4.8073 90.00 94.17 90.00
Last column: nearest neighbours and their distance in Å.
Space group Pm (No. 6)
Symmetry-distinct sites (fractional):
Al 0.0000 0.0000 0.0000 x1  4 Mo 2.61-2.85, 4 Fe 2.65-2.85, 4 Al 2.69-2.70
Al 0.0358 0.5000 0.6844 x1  3 Fe 2.57-2.77, 4 Al 2.69-2.70, 4 Mo 2.71-2.79
Fe 0.6021 0.5000 0.1896 x1  7 Al 2.57-2.85, 2 Mo 2.68, 2 Fe 2.70
Mo 0.4806 0.0000 0.4920 x1  8 Al 2.61-2.85, 2 Fe 2.68, 2 Mo 2.70

***

Computed, not measured: an optimized crystal structure of AlCuPt at the PBE-GGA level of DFT.

**Volume**: 13.96 Å³/atom
**DFT formation energy**: -12.74 kcal/mol of atoms
**Excess energy over the best structure of this formula in the dataset**: 0.105 eV/atom
**Total magnetization**: 0.00 μB/f.u.

Lattice parameters (Å, degrees): 4.1662 4.1662 2.7855 90.00 90.00 120.00
Last column: nearest neighbours and their distance in Å.
Space group P3m1 (No. 156)
Symmetry-distinct sites (fractional):
Al 0.0000 0.0000 0.0000 x1  3 Cu 2.48, 3 Pt 2.59
Cu 0.6667 0.3333 0.2100 x1  3 Al 2.48, 3 Pt 2.70
Pt 0.3333 0.6667 0.6511 x1  3 Al 2.59, 6 Cu 2.70-2.87, 2 Pt 2.79

***

Computed, not measured: an optimized crystal structure of Y5Os4 at the PBE-GGA level of DFT.

**Volume**: 21.53 Å³/atom
**DFT formation energy**: 2.56 kcal/mol of atoms
**Excess energy over the best structure of this formula in the dataset**: 0.000 eV/atom
**Total magnetization**: 0.00 μB/f.u.

Lattice parameters (Å, degrees): 8.4691 8.4691 6.2377 90.00 90.00 120.00
Last column: nearest neighbours and their distance in Å.
Space group P6_3/mcm (No. 193)
Symmetry-distinct sites (fractional):
Y 0.0000 0.2769 0.2500 x6  5 Os 2.82-2.95
Y 0.3333 0.6667 0.0000 x4  6 Os 3.09, 2 Y 3.12
Os 0.0000 0.0000 0.0000 x2  6 Y 2.82, 2 Os 3.12
Os 0.0000 0.3744 0.7500 x6  7 Y 2.85-3.09

***

Computed, not measured: an optimized crystal structure of DyNiRhPb at the PBE-GGA level of DFT.

**Volume**: 18.65 Å³/atom
**DFT formation energy**: -8.83 kcal/mol of atoms
**Total magnetization**: 0.00 μB/f.u.

Lattice parameters (Å, degrees): 6.6826 6.6826 6.6826 90.00 90.00 90.00
Last column: nearest neighbours and their distance in Å.
Space group F-43m (No. 216)
Symmetry-distinct sites (fractional):
Dy 0.0000 0.0000 0.0000 x4  4 Ni 2.89, 4 Rh 2.89
Ni 0.2500 0.2500 0.7500 x4  4 Pb 2.89, 4 Dy 2.89
Rh 0.2500 0.2500 0.2500 x4  4 Pb 2.89, 4 Dy 2.89
Pb 0.0000 0.0000 0.5000 x4  4 Ni 2.89, 4 Rh 2.89

***

Computed, not measured: an optimized crystal structure of KY6Se8 at the PBE-GGA level of DFT.

**Volume**: 29.27 Å³/atom
**Formation energy without anion corrections**: -1.745 eV per atom
**Total magnetization**: 1.10 μB/f.u.

Lattice parameters (Å, degrees): 11.0111 11.0111 4.1815 90.00 90.00 120.00
Last column: nearest neighbours and their distance in Å.
Space group P-3 (No. 147)
Symmetry-distinct sites (fractional):
K 0.0000 0.0000 0.0000 x1  6 Se 3.84, 2 K 4.18
Y 0.1375 0.4817 0.2503 x6  6 Se 2.86-2.96
Se 0.0447 0.6891 0.2493 x6  4 Y 2.86-2.93
Se 0.3333 0.6667 0.7503 x2  6 Y 2.96

***

Computed, not measured: an optimized crystal structure of Pr3Tm5Th2 at the PBE-GGA level of DFT.

**Volume**: 33.15 Å³/atom
**DFT formation energy**: 4.97 kcal/mol of atoms
**Total magnetization**: 0.00 μB/f.u.

Lattice parameters (Å, degrees): 10.7352 16.9599 9.0357 90.00 126.30 90.00
Last column: nearest neighbours and their distance in Å.
Space group C2/c (No. 15)
Symmetry-distinct sites (fractional):
Pr 0.0000 0.2256 0.2500 x4  1 Tm 3.32, 4 Th 3.33-3.62, 2 Pr 3.55
Pr 0.1474 0.1223 0.0421 x8  1 Th 3.12, 6 Tm 3.35-3.46
Tm 0.0000 0.0301 0.2500 x4  5 Pr 3.32-3.46, 2 Th 3.49, 2 Tm 3.57
Tm 0.0000 0.2774 0.7500 x4  1 Tm 3.22, 4 Pr 3.38-3.51, 2 Th 3.58
Tm 0.0000 0.4670 0.7500 x4  1 Tm 3.22, 4 Th 3.29-3.44, 2 Pr 3.43
Tm 0.2492 0.1096 0.7518 x8  2 Th 3.37-3.40, 2 Pr 3.39-3.44, 2 Tm 3.57-3.63
Th 0.1386 0.3808 0.5290 x8  2 Pr 3.12-3.33, 5 Tm 3.29-3.49

***

Computed, not measured: an optimized crystal structure of Pr6Sm2In at the PBE-GGA level of DFT.

**Volume**: 34.02 Å³/atom
**DFT formation energy**: -1.55 kcal/mol of atoms
**Excess energy over the best structure of this formula in the dataset**: 0.000 eV/atom
**Total magnetization**: 0.00 μB/f.u.

Lattice parameters (Å, degrees): 10.9796 10.9796 5.0796 90.00 90.00 90.00
Last column: nearest neighbours and their distance in Å.
Space group P4_2/mnm (No. 136)
Symmetry-distinct sites (fractional):
Pr 0.0005 0.3314 0.0000 x8  8 Pr 3.61-3.75, 3 Sm 3.62-3.71, 1 In 3.64
Pr 0.1594 0.1594 0.5000 x4  4 Sm 3.52-3.77, 2 In 3.55, 6 Pr 3.61-3.75
Sm 0.1613 0.8387 0.5000 x4  10 Pr 3.52-3.77, 2 In 3.57
In 0.0000 0.0000 0.0000 x2  8 Pr 3.55-3.64, 4 Sm 3.57